[1]
Entry from the Alexandria database: MgScMn2 after structural relaxation (PBE).

Cell and atoms, written as POSCAR:
```
MgScMn2
1.0
-1.441 4.403 -2.229
-5.106 0.578 -0.162
3.341 -1.189 3.723
Mg Mn Sc
1 2 1
Direct
0.750 0.250 0.500
0.000 0.000 0.000
0.250 0.750 0.500
0.500 0.500 0.000
```

Output
The calculation puts the total energy at -6.35 eV/atom. The calculation puts the formation enthalpy at 0 K at 0.2151 eV per atom. The mass density comes out at 4.29 g/cm3. Its crystal system is tetragonal.



[2]
Entry from the Alexandria database: SrTc8 after structural relaxation (PBE).

Cell and atoms, written as POSCAR:
```
SrTc8
1.0
0.905 -5.689 2.727
2.553 5.824 -0.422
-4.972 1.698 3.607
Sr Tc
1 8
Direct
0.000 0.000 0.000
0.695 0.305 0.000
0.305 0.695 0.000
0.000 0.643 0.643
0.305 0.305 0.610
0.643 0.000 0.643
0.695 0.695 0.390
0.000 0.357 0.357
0.357 0.000 0.357
```

Output
The calculation puts the total energy at -9.11 eV/atom. The calculation puts the formation enthalpy at 0 K at 0.2916 eV per atom. The mass density comes out at 9.59 g/cm3. Its crystal system is tetragonal.



[3]
Entry from the Alexandria database: K2CrIn after structural relaxation (PBE).

Cell and atoms, written as POSCAR:
```
K2CrIn
1.0
4.968 0.000 0.000
0.000 5.072 0.024
0.000 2.501 6.568
Cr In K
1 1 2
Direct
0.000 0.670 0.532
0.500 0.576 0.725
0.000 0.974 0.928
0.500 0.280 0.315
```

Output
The calculation puts the total energy at -3.16 eV/atom. The calculation puts the formation enthalpy at 0 K at 0.4801 eV per atom. The mass density comes out at 2.46 g/cm3. Its crystal system is monoclinic.



- Which formula does entry 1 have?
  MgScMn2